Record 1
Entry from the Alexandria database: an optimized crystal structure of Ce3HoTl3 (GGA-PBE).

Calculated values
* E_form: -87 meV/atom
* DFT total energy: -30.09 eV per formula unit
* total magnetization: 6.59 Bohr magnetons per cell

Cell and atoms, written as extended XYZ:
```
14
Lattice="9.5124 0.0000 0.0000 -4.7562 8.2380 0.0000 0.0000 0.0000 5.0939" Properties=species:S:1:pos:R:3 pbc="T T T"
Ce -1.0214 1.8575 1.2735
Ce -2.6368 8.1939 1.2735
Ce 1.0980 1.8134 3.8204
Ce 3.6583 6.4247 1.2735
Ce 7.3931 0.0442 3.8204
Ce 5.7777 6.3805 3.8204
Ho 0.0000 5.4920 1.2735
Ho 4.7562 2.7460 3.8204
Tl -1.4652 3.7996 3.8204
Tl -0.7331 7.6072 3.8204
Tl 2.5579 3.1687 1.2735
Tl 2.1983 5.0693 3.8204
Tl 5.4893 0.6309 1.2735
Tl 6.2215 4.4384 1.2735
```

Record 2
Entry from the Alexandria database: an optimized crystal structure of CeHo4Tl7 (GGA-PBE).

Calculated values
* E_form: -66 meV/atom
* DFT total energy: -41.60 eV per formula unit
* total magnetization: 1.06 Bohr magnetons per cell

Cell and atoms, written as extended XYZ:
```
12
Lattice="6.6698 -2.8863 0.0000 6.6698 2.8863 0.0000 -6.3839 0.0000 9.5162" Properties=species:S:1:pos:R:3 pbc="T T T"
Ce 0.0000 0.0000 0.0000
Ho -0.5527 0.0000 6.3955
Ho 4.1469 0.0000 2.0687
Ho 2.8087 0.0000 7.4476
Ho 7.5083 0.0000 3.1207
Tl -1.0338 0.0000 3.1402
Tl -2.8760 0.0000 8.5239
Tl 1.9677 0.0000 4.3245
Tl 6.6698 0.0000 0.0000
Tl 4.9879 0.0000 5.1917
Tl 9.8316 0.0000 0.9923
Tl 7.9895 0.0000 6.3761
```

Record 3
Entry from the Alexandria database: an optimized crystal structure of CeHo5Tl4 (GGA-PBE).

Calculated values
* E_form: 46 meV/atom
* DFT total energy: -37.83 eV per formula unit
* total magnetization: 1.98 Bohr magnetons per cell
* energy relative to the lowest polymorph listed for this composition: 301 meV/atom

Cell and atoms, written as extended XYZ:
```
20
Lattice="8.5582 0.0000 0.0000 0.0000 9.1884 0.0000 0.0000 0.0000 8.2328" Properties=species:S:1:pos:R:3 pbc="T T T"
Ce 2.1396 2.2971 1.2508
Ce 6.4187 6.8913 6.9819
Ho 0.2319 5.0780 1.9524
Ho 0.2319 8.7047 1.9524
Ho 2.1396 6.8913 4.7997
Ho 4.0473 5.0780 1.9524
Ho 4.0473 8.7047 1.9524
Ho 4.5110 0.4838 6.2804
Ho 4.5110 4.1104 6.2804
Ho 6.4187 2.2971 3.4330
Ho 8.3264 0.4838 6.2804
Ho 8.3264 4.1104 6.2804
Tl 0.7207 6.8913 7.6980
Tl 2.1396 0.7957 4.2326
Tl 2.1396 3.7985 4.2326
Tl 3.5584 6.8913 7.6980
Tl 4.9999 2.2971 0.5347
Tl 6.4187 5.3899 4.0002
Tl 6.4187 8.3927 4.0002
Tl 7.8375 2.2971 0.5347
```

Record 4
Entry from the Alexandria database: an optimized crystal structure of Ce5HoTl6 (GGA-PBE).

Calculated values
* E_form: -254 meV/atom
* DFT total energy: -51.49 eV per formula unit
* total magnetization: 6.67 Bohr magnetons per cell

Cell and atoms, written as extended XYZ:
```
12
Lattice="-2.4754 4.6042 7.4361 2.4754 -4.6042 7.4361 2.4754 4.6042 -7.4361" Properties=species:S:1:pos:R:3 pbc="T T T"
Ce 0.0000 0.0000 0.0000
Ce 2.4754 0.0000 2.4406
Ce 0.0000 0.0000 4.8294
Ce 0.0000 0.0000 10.0428
Ce 0.0000 4.6042 4.9955
Ho 0.0000 4.6042 0.0000
Tl 2.4754 -2.2630 5.0059
Tl 2.4754 2.3693 0.0000
Tl 0.0000 2.3412 2.4302
Tl 2.4754 2.2630 5.0059
Tl 0.0000 2.2349 7.4361
Tl 0.0000 6.8671 2.4302
```

Record 5
Entry from the Alexandria database: an optimized crystal structure of CeHo7Tl4 (GGA-PBE).

Calculated values
* E_form: 0 meV/atom
* DFT total energy: -47.44 eV per formula unit
* total magnetization: 1.13 Bohr magnetons per cell

Cell and atoms, written as extended XYZ:
```
12
Lattice="7.4628 -2.8464 0.0000 7.4628 2.8464 0.0000 -5.0434 0.0000 8.3297" Properties=species:S:1:pos:R:3 pbc="T T T"
Ce 0.0000 0.0000 0.0000
Ho -1.0173 0.0000 3.4114
Ho -1.4369 0.0000 7.3152
Ho 2.2849 0.0000 2.4938
Ho 7.4628 0.0000 0.0000
Ho 7.5972 0.0000 5.8359
Ho 11.3190 0.0000 1.0146
Ho 10.8994 0.0000 4.9183
Tl 1.3904 0.0000 5.5121
Tl 5.2667 0.0000 2.3541
Tl 4.6153 0.0000 5.9756
Tl 8.4917 0.0000 2.8176
```

Record 6
Entry from the Alexandria database: an optimized crystal structure of CeHo2Tl (GGA-PBE).

Calculated values
* E_form: -56 meV/atom
* DFT total energy: -17.68 eV per formula unit
* total magnetization: 2.10 Bohr magnetons per cell
* energy relative to the lowest polymorph listed for this composition: 81 meV/atom

Cell and atoms, written as extended XYZ:
```
8
Lattice="4.7260 0.0000 0.0000 0.0000 4.8216 0.0000 -2.3825 0.0000 10.9642" Properties=species:S:1:pos:R:3 pbc="T T T"
Ce -0.0018 1.2054 4.2274
Ce 2.3454 3.6162 6.7368
Ho -0.0006 3.6162 1.2349
Ho -0.0193 3.6162 9.5762
Ho 2.3629 1.2054 1.3881
Ho 2.3442 1.2054 9.7294
Tl -0.0200 1.2054 7.4149
Tl 2.3635 3.6162 3.5494
```

Record 7
Entry from the Alexandria database: an optimized crystal structure of CeHo2Tl2 (GGA-PBE).

Calculated values
* E_form: -232 meV/atom
* DFT total energy: -20.98 eV per formula unit
* total magnetization: 1.74 Bohr magnetons per cell
* energy relative to the lowest polymorph listed for this composition: 0 meV/atom

Cell and atoms, written as extended XYZ:
```
10
Lattice="5.9896 -2.5937 0.0000 5.9896 2.5937 0.0000 -1.9066 0.0000 9.1129" Properties=species:S:1:pos:R:3 pbc="T T T"
Ce -0.1340 0.0000 3.4280
Ce 10.2066 0.0000 5.6848
Ho 1.6542 0.0000 6.8645
Ho 4.8889 0.0000 1.2221
Ho 5.1837 0.0000 7.8908
Ho 8.4184 0.0000 2.2484
Tl 1.4868 0.0000 0.5189
Tl 3.4183 0.0000 3.9904
Tl 6.6543 0.0000 5.1225
Tl 8.5858 0.0000 8.5940
```

Record 8
Entry from the Alexandria database: an optimized crystal structure of CeHo5Tl3 (GGA-PBE).

Calculated values
* E_form: -244 meV/atom
* DFT total energy: -38.12 eV per formula unit
* total magnetization: 5.18 Bohr magnetons per cell

Cell and atoms, written as extended XYZ:
```
18
Lattice="9.3538 0.0000 0.0000 -4.6769 8.1007 0.0000 0.0000 0.0000 6.6891" Properties=species:S:1:pos:R:3 pbc="T T T"
Ce 0.0000 0.0000 0.0000
Ce 0.0000 0.0000 3.3445
Ho -1.5209 2.6343 1.6723
Ho -3.1560 5.4664 5.0168
Ho 3.0418 0.0000 1.6723
Ho 1.5209 2.6343 5.0168
Ho 0.0000 5.4005 0.0000
Ho 0.0000 5.4005 3.3445
Ho 4.6769 2.7002 0.0000
Ho 4.6769 2.7002 3.3445
Ho 6.3120 0.0000 5.0168
Ho 3.1560 5.4664 1.6723
Tl -1.6026 2.7757 5.0168
Tl -3.0743 5.3249 1.6723
Tl 3.2052 0.0000 5.0168
Tl 1.6026 2.7757 1.6723
Tl 6.1487 0.0000 1.6723
Tl 3.0743 5.3249 5.0168
```

Please write out number 7 again, unchanged.
Entry from the Alexandria database: an optimized crystal structure of CeHo2Tl2 (GGA-PBE).

Calculated values
* E_form: -232 meV/atom
* DFT total energy: -20.98 eV per formula unit
* total magnetization: 1.74 Bohr magnetons per cell
* energy relative to the lowest polymorph listed for this composition: 0 meV/atom

Cell and atoms, written as extended XYZ:
```
10
Lattice="5.9896 -2.5937 0.0000 5.9896 2.5937 0.0000 -1.9066 0.0000 9.1129" Properties=species:S:1:pos:R:3 pbc="T T T"
Ce -0.1340 0.0000 3.4280
Ce 10.2066 0.0000 5.6848
Ho 1.6542 0.0000 6.8645
Ho 4.8889 0.0000 1.2221
Ho 5.1837 0.0000 7.8908
Ho 8.4184 0.0000 2.2484
Tl 1.4868 0.0000 0.5189
Tl 3.4183 0.0000 3.9904
Tl 6.6543 0.0000 5.1225
Tl 8.5858 0.0000 8.5940
```